No. 1
## KRb2CdI6 (PBE)

Data for a relaxed structure of KRb2CdI6.

Results
Calculated total energy   -23.08 eV/cell
Calculated volume   46.2 Å³/atom
Symmetry   P-1 (2)

The structure in POSCAR format:
```
KRb2CdI6
1.0
7.491 0.000 0.000
3.740 7.631 0.000
3.715 2.187 8.076
I Rb K Cd
6 2 1 1
direct
0.672 0.294 0.850
0.328 0.706 0.150
0.223 0.877 0.671
0.820 0.704 0.153
0.777 0.123 0.329
0.180 0.296 0.847
0.739 0.777 0.741
0.261 0.223 0.259
0.500 0.500 0.500
0.000 0.000 0.000
```

=====

No. 2
## Dy3Zn2SnPdPt2 (PBE)

Data for a relaxed structure of Dy3Zn2SnPdPt2.

Results
Calculated total energy   -46.16 eV/cell
Total moment   0.004 μB per atom
Calculated volume   20.5 Å³/atom
Symmetry   Amm2 (38)

The structure in POSCAR format:
```
Dy3Zn2SnPdPt2
1.0
-0.425 2.137 -3.162
-5.567 -4.419 -2.239
-1.457 5.963 4.225
Dy Zn Pt Pd Sn
3 2 2 1 1
direct
0.000 0.585 0.003
0.000 0.003 0.585
0.000 0.400 0.400
0.500 0.996 0.255
0.500 0.255 0.996
0.500 0.329 0.663
0.500 0.663 0.329
0.000 0.014 0.014
0.500 0.754 0.754
```

=====

No. 3
## CsNbBr6 (PBE)

Data for a relaxed structure of CsNbBr6.

Results
Calculated total energy   -29.75 eV/cell
Total moment   0.000 μB per atom
Calculated volume   39.0 Å³/atom
Symmetry   R-3m (166)

The structure in POSCAR format:
```
CsNbBr6
1.0
4.131 2.348 6.307
4.486 6.495 0.245
-1.652 6.418 4.293
Br Cs Nb
6 1 1
direct
0.090 0.600 0.090
0.400 0.910 0.910
0.910 0.910 0.400
0.910 0.400 0.910
0.090 0.090 0.600
0.600 0.090 0.090
0.500 0.500 0.500
0.000 0.000 0.000
```

=====

No. 4
## TmBeZn (PBE)

Data for a relaxed structure of TmBeZn.

Results
Energy relative to the lowest polymorph listed for this composition   131 meV/atom
Total moment   0.006 μB per atom
Calculated volume   19.5 Å³/atom
Symmetry   F-43m (216)

The structure in POSCAR format:
```
TmBeZn
1.0
1.974 -1.373 3.632
2.724 2.647 2.131
-1.148 1.656 3.862
Zn Be Tm
1 1 1
direct
0.000 0.000 0.000
0.250 0.250 0.250
0.750 0.750 0.750
```

=====

No. 5
## AcGePd (PBE)

Data for a relaxed structure of AcGePd.

Results
Energy relative to the lowest polymorph listed for this composition   897 meV/atom
Total moment   0.001 μB per atom
Calculated volume   30.6 Å³/atom
Symmetry   F-43m (216)

The structure in POSCAR format:
```
AcGePd
1.0
0.000 3.581 3.581
3.581 0.000 3.581
3.581 3.581 0.000
Pd Ac Ge
1 1 1
direct
0.750 0.750 0.750
0.000 0.000 0.000
0.250 0.250 0.250
```

=====

No. 6
## PdSCl (PBE)

Data for a relaxed structure of PdSCl.

Results
Calculated total energy   -147.33 eV/cell
Calculated volume   23.8 Å³/atom
Symmetry   P2_1/m (11)

The structure in POSCAR format:
```
PdSCl
1.0
7.960 0.000 -0.014
0.000 12.252 0.000
-3.305 0.000 8.779
Cl S Pd
12 12 12
direct
0.660 0.750 0.549
0.080 0.750 0.885
0.364 0.895 0.683
0.636 0.105 0.317
0.920 0.250 0.115
0.778 0.606 0.020
0.636 0.395 0.317
0.340 0.250 0.451
0.364 0.605 0.683
0.222 0.106 0.980
0.222 0.394 0.980
0.778 0.894 0.020
0.406 0.837 0.200
0.964 0.876 0.401
0.594 0.337 0.800
0.594 0.163 0.800
0.406 0.663 0.200
0.143 0.536 0.318
0.036 0.124 0.599
0.857 0.464 0.682
0.036 0.376 0.599
0.143 0.964 0.318
0.964 0.624 0.401
0.857 0.036 0.682
0.840 0.250 0.444
0.148 0.250 0.792
0.593 0.371 0.557
0.101 0.630 0.095
0.852 0.750 0.208
0.407 0.629 0.443
0.899 0.370 0.905
0.593 0.129 0.557
0.407 0.871 0.443
0.101 0.870 0.095
0.899 0.130 0.905
0.160 0.750 0.556
```

=====

No. 7
## Cu2Ag3 (PBE)

Data for a relaxed structure of Cu2Ag3.

Results
Energy relative to the lowest polymorph listed for this composition   13 meV/atom
ΔH_f (0 K)   46 meV per atom
Calculated volume   15.5 Å³/atom
Symmetry   C2/m (12)

The structure in POSCAR format:
```
Cu2Ag3
1.0
4.792 -1.437 0.000
4.792 1.437 0.000
-1.529 0.000 11.246
Ag Cu
6 4
direct
0.432 0.432 0.171
0.279 0.279 0.714
0.721 0.721 0.286
0.144 0.144 0.057
0.856 0.856 0.943
0.568 0.568 0.829
0.651 0.651 0.528
0.986 0.986 0.626
0.014 0.014 0.374
0.349 0.349 0.472
```

=====

No. 8
## RbHg3Te4Ir (PBE)

Data for a relaxed structure of RbHg3Te4Ir.

Results
Calculated total energy   -23.62 eV/cell
Total moment   0.034 μB per atom
Calculated volume   46.1 Å³/atom
Symmetry   P-43m (215)

The structure in POSCAR format:
```
RbHg3Te4Ir
1.0
7.460 0.000 0.000
0.000 7.460 0.000
0.000 0.000 7.460
Ir Te Hg Rb
1 4 3 1
direct
0.000 0.000 0.000
0.805 0.805 0.805
0.805 0.195 0.195
0.195 0.195 0.805
0.195 0.805 0.195
0.500 0.000 0.000
0.000 0.000 0.500
0.000 0.500 0.000
0.500 0.500 0.500
```

=====

No. 9
## U2Ge2N (PBE)

Data for a relaxed structure of U2Ge2N.

Results
Calculated total energy   -65.95 eV/cell
Total moment   1.193 μB per atom
Calculated volume   23.5 Å³/atom
Symmetry   P4/mbm (127)

The structure in POSCAR format:
```
U2Ge2N
1.0
9.203 0.000 0.000
0.000 9.203 0.000
0.000 0.000 2.775
U Ge N
4 4 2
direct
0.298 0.202 0.500
0.702 0.798 0.500
0.202 0.702 0.500
0.798 0.298 0.500
0.091 0.409 0.500
0.409 0.909 0.500
0.909 0.591 0.500
0.591 0.091 0.500
0.500 0.500 0.000
0.000 0.000 0.000
```

=====

No. 10
## HfUAs (PBE)

Data for a relaxed structure of HfUAs.

Results
Calculated total energy   -23.49 eV/cell
Total moment   1.166 μB per atom
Calculated volume   25.6 Å³/atom
Symmetry   F-43m (216)

The structure in POSCAR format:
```
HfUAs
1.0
-4.350 -1.955 -0.165
-3.351 1.871 -2.835
-1.411 -2.356 -3.902
U Hf As
1 1 1
direct
0.000 0.000 0.000
0.750 0.750 0.750
0.250 0.250 0.250
```